Record 1
Compound: BeNbSi2W
Source: Alexandria
Functional: GGA-PBE
Structure: optimized geometry

Size of the total moment in μB per atom: 0.08
SG: P4/mmm (123)
Raw formation energy in eV/atom: 0.820
Energy in eV/atom: -6.70

Lattice parameters (Å, degrees): 4.1278 4.2916 4.1278 90.00 90.00 90.00
Each line ends with the local moment (μB).
Fractional coordinates of all 5 atoms:
Si  0.0000  0.0000  0.5000  0.00
Si  0.5000  0.0000  0.0000  0.00
Nb  0.0000  0.5000  0.0000  -0.06
W  0.5000  0.5000  0.5000  0.36
Be  0.0000  0.0000  0.0000  0.01

Record 2
Compound: Cd2POs
Source: Alexandria
Functional: GGA-PBE
Structure: optimized geometry

Excess energy over the best structure of this formula in the dataset in meV/atom: 601
Size of the total moment in μB per atom: 0.00
SG: I-4m2 (119)
Energy in eV/atom: -3.96
Formation energy from the elements in meV/atom: 660

Lattice parameters (Å, degrees): 4.9864 4.9864 4.9864 130.95 130.95 71.89
Fractional coordinates of all 4 atoms:
Os  0.5000  0.5000  0.0000
Cd  0.0000  0.0000  0.0000
Cd  0.2500  0.7500  0.5000
P  0.7500  0.2500  0.5000